Below is a relaxed Ir2RhSe crystal, with properties calculated at the GGA-PBE level.

Results
Energy relative to the elements, uncorrected   0.348 eV/atom
Total magnetic moment   0.0 μB/f.u.

a = 2.8729 Å, b = 2.8729 Å, c = 25.4347 Å
α = 90.00°, β = 90.00°, γ = 120.00°
Space group R-3m (No. 166, hexagonal axes)
Symmetry-distinct sites (fractional):
1 Ir 0.0000 0.0000 0.2474 x6
2 Rh 0.0000 0.0000 0.0000 x3
3 Se 0.0000 0.0000 0.5000 x3

Below is a relaxed Ac3Tl5Te12 crystal, with properties calculated at the GGA-PBE level.

Results
Energy relative to the elements, uncorrected   -0.586 eV/atom
Total magnetic moment   0.0 μB/f.u.

a = 18.582 Å, b = 18.582 Å, c = 18.582 Å
α = 90.00°, β = 90.00°, γ = 90.00°
Space group Ia-3d (No. 230)
Symmetry-distinct sites (fractional):
1 Ac 0.000 0.250 0.125 x24
2 Tl 0.000 0.000 0.000 x16
3 Tl 0.000 0.250 0.375 x24
4 Te 0.020 0.068 0.655 x96

Below is a relaxed SrAcCdSi crystal, with properties calculated at the GGA-PBE level.

Results
Energy relative to the elements, uncorrected   -0.284 eV/atom
Total magnetic moment   0.0 μB/f.u.

a = 7.876 Å, b = 7.876 Å, c = 7.876 Å
α = 90.00°, β = 90.00°, γ = 90.00°
Space group F-43m (No. 216)
Symmetry-distinct sites (fractional):
1 Sr 0.000 0.000 0.000 x4
2 Ac 0.000 0.000 0.500 x4
3 Cd 0.250 0.250 0.750 x4
4 Si 0.250 0.250 0.250 x4

Below is a relaxed AcLa6Mg2 crystal, with properties calculated at the GGA-PBE level.

Results
Total magnetic moment   0.0 μB/f.u.
Energy above the lowest structure with this stoichiometry   35 meV per atom
Calculated formation energy   0.7 eV per formula unit

a = 5.124 Å, b = 5.124 Å, c = 12.414 Å
α = 90.00°, β = 90.00°, γ = 90.00°
Space group P4/mmm (No. 123)
Symmetry-distinct sites (fractional):
1 Ac 0.000 0.000 0.000 x1
2 La 0.000 0.000 0.500 x1
3 La 0.000 0.500 0.289 x4
4 La 0.500 0.500 0.500 x1
5 Mg 0.500 0.500 0.112 x2

Below is a relaxed Tb6Pm3Sm2Dy crystal, with properties calculated at the GGA-PBE level.

Results
Total magnetic moment   0.0 μB/f.u.
Calculated formation energy   0.2 eV per formula unit

a = 6.227 Å, b = 10.780 Å, c = 11.889 Å
α = 90.00°, β = 100.02°, γ = 90.00°
Space group C2/m (No. 12)
Symmetry-distinct sites (fractional):
1 Tb 0.250 0.000 0.249 x4
2 Tb 0.250 0.167 0.751 x8
3 Pm 0.000 0.000 0.500 x2
4 Pm 0.000 0.333 0.500 x4
5 Sm 0.000 0.167 0.000 x4
6 Dy 0.000 0.500 0.000 x2

Below is a relaxed RbHoS2O8 crystal, with properties calculated at the GGA-PBE level.

Results
Energy relative to the elements, uncorrected   -2.104 eV/atom
Total magnetic moment   0.0 μB/f.u.

a = 5.3563 Å, b = 5.3563 Å, c = 8.4696 Å
α = 90.00°, β = 90.00°, γ = 120.00°
Space group P-3 (No. 147)
Symmetry-distinct sites (fractional):
1 Rb 0.0000 0.0000 0.0000 x1
2 Ho 0.0000 0.0000 0.5000 x1
3 S 0.3333 0.6667 0.7239 x2
4 O 0.1253 0.3733 0.6612 x6
5 O 0.3333 0.6667 0.8960 x2

Theoretical density for every record listed, in sequence, given in g/cm3: 15.517, 6.696, 6.188, 5.649, 7.825, 3.492.